Entry 1:
First-principles (PBE-GGA) data for crystalline KLa2Mg at its relaxed geometry, as listed in Alexandria.

The structure belongs to space group Cmmm (No. 65); the cell edges are 7.125, 11.977 and 3.467 Å and the angles 90.00°, 90.00° and 90.00°. The asymmetric unit holds K at (0.000, 0.000, 0.000), La at (0.250, 0.250, 0.500) and Mg at (0.000, 0.500, 0.000).

For the energy of formation, the calculation gives 0.35 eV per atom. The value obtained for the electronic total energy is -2.788 eV/atom. The density of states at the Fermi level comes out at 5.6 states/eV/f.u. The value obtained for the size of the total moment is 0.001 μB/atom.

Entry 2:
First-principles (PBE-GGA) data for crystalline TiCdFeAs2 at its relaxed geometry, as listed in Alexandria.

The structure belongs to space group P4/mmm (No. 123); the cell edges are 4.868, 4.868 and 4.671 Å and the angles 90.00°, 90.00° and 90.00°. The asymmetric unit holds Ti at (0.000, 0.000, 0.000), Cd at (0.500, 0.500, 0.500), Fe at (0.000, 0.000, 0.500) and As at (0.000, 0.500, 0.000).

For the energy of formation, the calculation gives 0.52 eV per atom. The value obtained for the electronic total energy is -4.799 eV/atom. The density of states at the Fermi level comes out at 4.8 states/eV/f.u. The value obtained for the size of the total moment is 0.555 μB/atom.

Entry 3:
First-principles (PBE-GGA) data for crystalline DyCd2BiO6 at its relaxed geometry, as listed in Alexandria.

The structure belongs to space group R3 (No. 146, hexagonal axes); the cell edges are 5.7603, 5.7603 and 15.1386 Å and the angles 90.00°, 90.00° and 120.00°. The asymmetric unit holds Dy at (0.0000, 0.0000, 0.0000), Cd at (0.0000, 0.0000, 0.2765), Cd at (0.0000, 0.0000, 0.7804), Bi at (0.0000, 0.0000, 0.4945), O at (0.0480, 0.3424, 0.5656) and O at (0.0556, 0.6895, 0.0696).

The calculation puts the formation energy from raw total energies at -37.6 kcal/mol of atoms. The value obtained for the electronic total energy is -5.635 eV/atom. The value obtained for the size of the total moment is 0.000 μB/atom.

Entry 4:
First-principles (PBE-GGA) data for crystalline K2ScIr at its relaxed geometry, as listed in Alexandria.

The structure belongs to space group Cm (No. 8); the cell edges are 7.840, 4.273 and 9.629 Å and the angles 90.00°, 103.70° and 90.00°. The asymmetric unit holds K at (0.000, 0.000, 0.000), K at (0.169, 0.000, 0.574), Sc at (0.407, 0.000, 0.287) and Ir at (0.235, 0.500, 0.287).

The value obtained for the distance to the lowest polymorph of the same formula is 0.107 eV per atom. For the energy of formation, the calculation gives 0.12 eV per atom. The value obtained for the electronic total energy is -4.225 eV/atom. The density of states at the Fermi level comes out at 3.2 states/eV/f.u. The value obtained for the size of the total moment is 0.000 μB/atom.